PBE-GGA BaTc2P, optimized geometry; E_form = 973 meV per atom; space group = C2/m (12)
1.0
6.1316 0.0000 0.0000
0.0000 8.9436 0.0000
-1.5302 0.0000 2.7370
Ba Tc P
2 4 2
Direct
0.0000 0.0000 0.0000
0.5000 0.5000 0.0000
0.2500 0.2500 0.0000
0.2500 0.7500 0.0000
0.7500 0.2500 0.0000
0.7500 0.7500 0.0000
0.0000 0.5000 0.0000
0.5000 0.0000 0.0000

---

PBE-GGA K2ZnAs, optimized geometry; E_form = -250 meV per atom; space group = C2/c (15)
1.0
11.6788 0.0000 0.0000
0.0000 5.0523 0.0000
-5.5447 0.0000 9.9090
K Zn As
8 4 4
Direct
0.1757 0.0701 0.0907
0.1757 0.9299 0.5907
0.3243 0.4299 0.9093
0.3243 0.5701 0.4093
0.6757 0.4299 0.5907
0.6757 0.5701 0.0907
0.8243 0.0701 0.4093
0.8243 0.9299 0.9093
0.0000 0.3254 0.2500
0.0000 0.6746 0.7500
0.5000 0.1746 0.7500
0.5000 0.8254 0.2500
0.0000 0.1763 0.7500
0.0000 0.8237 0.2500
0.5000 0.3237 0.2500
0.5000 0.6763 0.7500

---

PBE-GGA CoSi2Pb, optimized geometry; ΔE_f (raw) = 504 meV/atom; space group = Imm2 (44)
1.0
4.0809 0.0000 0.0000
0.0000 5.5154 0.0000
0.0000 0.0000 6.7069
Co Si Pb
2 4 2
Direct
0.0000 0.0000 0.0000
0.5000 0.5000 0.5000
0.0000 0.0000 0.6541
0.0000 0.5000 0.3679
0.5000 0.0000 0.8679
0.5000 0.5000 0.1541
0.0000 0.5000 0.8326
0.5000 0.0000 0.3326

---

PBE-GGA TmScSi, optimized geometry; ΔE_f (raw) = -440 meV/atom; space group = Amm2 (38)
1.0
6.0910 0.0000 0.0000
0.0000 7.1991 4.5222
0.0000 -7.1991 4.5222
Tm Sc Si
6 6 6
Direct
0.0000 0.0000 0.0000
0.0000 0.5012 0.7581
0.0000 0.7581 0.5012
0.5000 0.0530 0.7781
0.5000 0.4428 0.4428
0.5000 0.7781 0.0530
0.2483 0.0950 0.4084
0.2483 0.4084 0.0950
0.5000 0.4072 0.7574
0.5000 0.7574 0.4072
0.7517 0.0950 0.4084
0.7517 0.4084 0.0950
0.0000 0.1654 0.7583
0.0000 0.3445 0.3445
0.0000 0.7583 0.1654
0.3063 0.7303 0.7303
0.5000 0.1342 0.1342
0.6937 0.7303 0.7303

---

PBE-GGA ZrPdS2, optimized geometry; ΔE_f (raw) = -881 meV/atom; space group = I-42d (122)
1.0
5.4438 0.0000 0.0000
0.0000 5.4438 0.0000
0.0000 0.0000 12.0482
Zr Pd S
4 4 8
Direct
0.0000 0.0000 0.0000
0.0000 0.5000 0.2500
0.5000 0.0000 0.7500
0.5000 0.5000 0.5000
0.0000 0.0000 0.5000
0.0000 0.5000 0.7500
0.5000 0.0000 0.2500
0.5000 0.5000 0.0000
0.2452 0.2500 0.6250
0.2500 0.7452 0.8750
0.2500 0.7548 0.3750
0.2548 0.2500 0.1250
0.7452 0.7500 0.1250
0.7500 0.2452 0.3750
0.7500 0.2548 0.8750
0.7548 0.7500 0.6250

---

PBE-GGA AlPbS3, optimized geometry; ΔE_f (raw) = -462 meV/atom; space group = Amm2 (38)
1.0
3.6641 0.0000 0.0000
0.0000 8.3462 0.0000
0.0000 0.0000 10.1668
Al Pb S
2 2 6
Direct
0.0000 0.0000 0.0000
0.0000 0.5000 0.5000
0.5000 0.0000 0.5955
0.5000 0.5000 0.0955
0.0000 0.0000 0.7760
0.0000 0.5000 0.2760
0.5000 0.1628 0.0677
0.5000 0.3372 0.5677
0.5000 0.6628 0.5677
0.5000 0.8372 0.0677